VASP calculation (GGA-PBE) on crystalline AlPbW2 at its relaxed geometry.

CIF file:
```
data_AlPbW2
_chemical_formula_sum 'Al2 Pb2 W4'
_symmetry_space_group_name_H-M 'I 4/m m m'
_symmetry_Int_Tables_number 139
_symmetry_space_group_name_Hall '-I 4 2'
_cell_length_a 4.0169
_cell_length_b 4.0169
_cell_length_c 8.8754
_cell_angle_alpha 90.00
_cell_angle_beta 90.00
_cell_angle_gamma 90.00
loop_
_atom_site_label
_atom_site_type_symbol
_atom_site_fract_x
_atom_site_fract_y
_atom_site_fract_z
Al1 Al 0.0000 0.0000 0.0000
Pb1 Pb 0.0000 0.0000 0.5000
W1 W 0.0000 0.5000 0.2500
```

Polymorph energy (0 for the lowest one) = 492 meV/atom
Formation enthalpy at 0 K = 0.87 eV per atom

=====

VASP calculation (GGA-PBE) on crystalline SrAg2Se at its relaxed geometry.

CIF file:
```
data_SrAg2Se
_chemical_formula_sum 'Sr2 Ag4 Se2'
_symmetry_space_group_name_H-M 'I m m 2'
_symmetry_Int_Tables_number 44
_symmetry_space_group_name_Hall 'I 2 -2'
_cell_length_a 4.6891
_cell_length_b 5.6955
_cell_length_c 7.5370
_cell_angle_alpha 90.00
_cell_angle_beta 90.00
_cell_angle_gamma 90.00
loop_
_atom_site_label
_atom_site_type_symbol
_atom_site_fract_x
_atom_site_fract_y
_atom_site_fract_z
Sr1 Sr 0.0000 0.0000 0.0000
Ag1 Ag 0.0000 0.0000 0.4816
Ag2 Ag 0.0000 0.5000 0.2091
Se1 Se 0.0000 0.5000 0.7891
```

Formation energy without anion corrections = -0.475 eV per atom

=====

no.,calculated total energy (eV/atom)
1,-7.465
2,-3.192